## NbP2Os (meta-GGA SCAN)

Data for NbP2Os at its PBEsol-relaxed geometry.

The structure in extended XYZ format:
```
16
Lattice="5.466 0.000 0.000 0.000 5.466 0.000 0.000 0.000 10.376" Properties=species:S:1:pos:R:3 pbc="T T T"
Nb 0.000 0.000 0.000
Nb 0.000 2.733 2.594
Nb 2.733 0.000 7.782
Nb 2.733 2.733 5.188
P 1.204 1.366 6.485
P 1.366 3.937 9.079
P 1.366 4.261 3.891
P 1.528 1.366 1.297
P 3.937 4.099 1.297
P 4.099 1.204 3.891
P 4.099 1.528 9.079
P 4.261 4.099 6.485
Os 0.000 0.000 5.188
Os 0.000 2.733 7.782
Os 2.733 0.000 2.594
Os 2.733 2.733 0.000
```

Calculated values
Energy relative to the elements in eV per atom: -0.041
DOS at the Fermi energy in states/eV per cell: 11.0